This record from Alexandria describes a relaxed structure of GeP2CS. The functional is PBEsol.

Unit cell a=4.513 b=4.640 c=4.640 alpha=90.00 beta=90.00 gamma=90.00
Site moments in Bohr magnetons follow the coordinates.
Positions (direct):
P 0.000 0.000 0.500  -0.12
P 0.000 0.500 0.000  -0.12
S 0.500 0.000 0.000  -0.01
Ge 0.000 0.000 0.000  0.01
C 0.500 0.500 0.500  0.49

Output
The value obtained for the spin magnetization is 0.50 Bohr magnetons per cell. The uncorrected energy comes out at -3.923 eV per atom. As for the density of states at the Fermi level: 0.91 states/eV per atom. The volume is 97.1 Å³/f.u.

=====

This record from Alexandria describes a relaxed structure of SrGePC2. The functional is PBEsol.

Unit cell a=4.008 b=4.008 c=5.916 alpha=90.00 beta=90.00 gamma=90.00
Positions (direct):
C 0.000 0.500 0.000
C 0.500 0.000 0.000
P 0.500 0.500 0.500
Sr 0.000 0.000 0.500
Ge 0.000 0.000 0.000

Output
The value obtained for the spin magnetization is 0.00 Bohr magnetons per cell. The uncorrected energy comes out at -4.595 eV per atom. As for the density of states at the Fermi level: 0.77 states/eV per atom. The volume is 95.0 Å³/f.u. Its formation energy is 171 kJ per mole of atoms.

=====

This record from Alexandria describes a relaxed structure of Ge3PbC. The functional is PBEsol.

Unit cell a=5.381 b=5.381 c=5.381 alpha=90.00 beta=90.00 gamma=90.00
Site moments in Bohr magnetons follow the coordinates.
Positions (direct):
C 0.500 0.500 0.500  0.82
Ge 0.000 0.000 0.500  -0.06
Ge 0.000 0.500 0.000  -0.06
Ge 0.500 0.000 0.000  -0.06
Pb 0.000 0.000 0.000  0.03

Output
The value obtained for the spin magnetization is 1.38 Bohr magnetons per cell. The uncorrected energy comes out at -3.238 eV per atom. As for the density of states at the Fermi level: 0.52 states/eV per atom. The volume is 155.8 Å³/f.u. Its formation energy is 237 kJ per mole of atoms.

=====

This record from Alexandria describes a relaxed structure of GeRu2PbC. The functional is PBEsol.

Unit cell a=3.763 b=4.672 c=4.672 alpha=90.00 beta=90.00 gamma=90.00
Positions (direct):
Ge 0.000 0.000 0.000
C 0.500 0.000 0.000
Ru 0.000 0.500 0.000
Ru 0.000 0.000 0.500
Pb 0.500 0.500 0.500

Output
The value obtained for the spin magnetization is 0.01 Bohr magnetons per cell. The uncorrected energy comes out at -6.306 eV per atom. As for the density of states at the Fermi level: 0.99 states/eV per atom. The volume is 82.1 Å³/f.u. Its formation energy is 143 kJ per mole of atoms.

=====

This record from Alexandria describes a relaxed structure of Sn2GePdC. The functional is PBEsol.

Unit cell a=4.557 b=5.227 c=5.227 alpha=90.00 beta=90.00 gamma=90.00
Site moments in Bohr magnetons follow the coordinates.
Positions (direct):
Pd 0.500 0.000 0.000  0.08
Ge 0.000 0.000 0.000  0.02
Sn 0.000 0.500 0.000  -0.03
Sn 0.000 0.000 0.500  -0.03
C 0.500 0.500 0.500  0.76

Output
The value obtained for the spin magnetization is 1.57 Bohr magnetons per cell. The uncorrected energy comes out at -4.116 eV per atom. As for the density of states at the Fermi level: 0.59 states/eV per atom. The volume is 124.5 Å³/f.u. Its formation energy is 164 kJ per mole of atoms.

=====

This record from Alexandria describes a relaxed structure of Pr5Ge3C. The functional is PBEsol.

Unit cell a=6.706 b=8.820 c=8.820 alpha=120.00 beta=90.00 gamma=90.00
Positions (direct):
Pr 0.750 0.223 0.223
Pr 0.000 0.333 0.667
Pr 0.750 0.777 0.000
Pr 0.250 0.777 0.777
Pr 0.750 0.000 0.777
Pr 0.250 0.000 0.223
Pr 0.250 0.223 0.000
Pr 0.000 0.667 0.333
Pr 0.500 0.333 0.667
Pr 0.500 0.667 0.333
Ge 0.250 0.000 0.589
Ge 0.750 0.589 0.589
Ge 0.750 0.000 0.411
Ge 0.250 0.589 0.000
Ge 0.750 0.411 0.000
Ge 0.250 0.411 0.411
C 0.500 0.000 0.000
C 0.000 0.000 0.000

Output
The value obtained for the spin magnetization is 0.00 Bohr magnetons per cell. The uncorrected energy comes out at -6.184 eV per atom. As for the density of states at the Fermi level: 1.06 states/eV per atom. The volume is 225.9 Å³/f.u. Its formation energy is -57 kJ per mole of atoms.

=====

This record from Alexandria describes a relaxed structure of ReGe3C. The functional is PBEsol.

Unit cell a=4.748 b=4.748 c=4.748 alpha=90.00 beta=90.00 gamma=90.00
Site moments in Bohr magnetons follow the coordinates.
Positions (direct):
Re 0.000 0.000 0.000  0.36
C 0.500 0.500 0.500  1.03
Ge 0.000 0.000 0.500  0.04
Ge 0.500 0.000 0.000  0.04
Ge 0.000 0.500 0.000  0.04

Output
The value obtained for the spin magnetization is 2.89 Bohr magnetons per cell. The uncorrected energy comes out at -6.026 eV per atom. As for the density of states at the Fermi level: 0.17 states/eV per atom. The volume is 107.1 Å³/f.u. Its formation energy is 148 kJ per mole of atoms.

=====

This record from Alexandria describes a relaxed structure of SrRe2GeC. The functional is PBEsol.

Unit cell a=4.069 b=4.069 c=5.135 alpha=90.00 beta=90.00 gamma=90.00
Positions (direct):
Ge 0.500 0.500 0.500
Sr 0.000 0.000 0.500
Re 0.000 0.500 0.000
Re 0.500 0.000 0.000
C 0.000 0.000 0.000

Output
The value obtained for the spin magnetization is 0.00 Bohr magnetons per cell. The uncorrected energy comes out at -8.028 eV per atom. As for the density of states at the Fermi level: 0.77 states/eV per atom. The volume is 85.0 Å³/f.u. Its formation energy is 57 kJ per mole of atoms.

=====

This record from Alexandria describes a relaxed structure of Ge3CS. The functional is PBEsol.

Unit cell a=4.353 b=4.353 c=4.353 alpha=90.00 beta=90.00 gamma=90.00
Positions (direct):
C 0.000 0.000 0.000
Ge 0.000 0.000 0.500
Ge 0.000 0.500 0.000
Ge 0.500 0.000 0.000
S 0.500 0.500 0.500

Output
The value obtained for the spin magnetization is 0.00 Bohr magnetons per cell. The calculation puts the energy above the lowest structure with this stoichiometry at 0 meV/atom. The uncorrected energy comes out at -4.863 eV per atom. As for the density of states at the Fermi level: 0.23 states/eV per atom. The volume is 82.5 Å³/f.u.

=====

This record from Alexandria describes a relaxed structure of Ge3CS. The functional is PBEsol.

Unit cell a=4.760 b=4.760 c=4.760 alpha=90.00 beta=90.00 gamma=90.00
Positions (direct):
Ge 0.500 0.000 0.000
Ge 0.000 0.500 0.000
Ge 0.000 0.000 0.500
C 0.500 0.500 0.500
S 0.000 0.000 0.000

Output
The value obtained for the spin magnetization is 0.00 Bohr magnetons per cell. The calculation puts the energy above the lowest structure with this stoichiometry at 912 meV/atom. The uncorrected energy comes out at -3.951 eV per atom. As for the density of states at the Fermi level: 0.47 states/eV per atom. The volume is 107.9 Å³/f.u.

=====

This record from Alexandria describes a relaxed structure of GeC3S. The functional is PBEsol.

Unit cell a=3.932 b=3.932 c=3.932 alpha=90.00 beta=90.00 gamma=90.00
Positions (direct):
C 0.000 0.000 0.500
C 0.000 0.500 0.000
C 0.500 0.000 0.000
S 0.500 0.500 0.500
Ge 0.000 0.000 0.000

Output
The value obtained for the spin magnetization is 0.00 Bohr magnetons per cell. The uncorrected energy comes out at -4.816 eV per atom. As for the density of states at the Fermi level: 0.81 states/eV per atom. The volume is 60.8 Å³/f.u.

=====

This record from Alexandria describes a relaxed structure of GeSb2C. The functional is PBEsol.

Unit cell a=4.714 b=4.714 c=4.714 alpha=60.00 beta=60.00 gamma=60.00
Positions (direct):
Sb 0.250 0.250 0.250
Sb 0.750 0.750 0.750
Ge 0.500 0.500 0.500
C 0.000 0.000 0.000

Output
The value obtained for the spin magnetization is 0.00 Bohr magnetons per cell. The uncorrected energy comes out at -4.560 eV per atom. As for the density of states at the Fermi level: 0.69 states/eV per atom. The volume is 74.1 Å³/f.u.